# Tb6Ho2Tl

An optimized crystal structure of Tb6Ho2Tl (GGA-PBE, Alexandria).

Structure (POSCAR):
```
Tb6Ho2Tl
1.0
10.5095 -3.1020 0.0000
10.5095 3.1020 0.0000
-2.9782 0.0000 8.4615
Tb Ho Tl
12 4 2
Direct
0.0008 0.6730 0.0829
0.1185 0.7742 0.8644
0.2258 0.8815 0.6356
0.2415 0.5397 0.4713
0.3270 0.9992 0.4171
0.4603 0.7585 0.0287
0.5397 0.2415 0.9713
0.6730 0.0008 0.5829
0.7585 0.4603 0.5287
0.7742 0.1185 0.3644
0.8815 0.2258 0.1356
0.9992 0.3270 0.9171
0.1083 0.4459 0.6950
0.4459 0.1083 0.1950
0.5541 0.8917 0.8050
0.8917 0.5541 0.3050
0.3335 0.6665 0.2500
0.6665 0.3335 0.7500
```

Summary:
**D(E_F)**: 12.726 states/eV/f.u.
**Polymorph energy (0 for the lowest one)**: 0.0 meV per atom
**Energy of formation from the pure elements**: -65 meV/atom